Arrangement A

VASP calculation (PBE-GGA) on a relaxed MgHN crystal.

The structure in POSCAR format:
```
MgHN
1.0
5.586 0.000 0.000
0.000 2.302 2.285
0.000 -2.302 2.285
Mg H N
2 2 2
Cartesian
0.000 0.000 0.000
2.793 0.000 0.000
1.396 0.303 1.997
4.189 -0.303 1.997
1.396 1.045 1.264
4.189 -1.045 1.264
```

Summary:
For the density of states at the Fermi level, the calculation gives 0.0 states/eV/cell.

***

Arrangement B

VASP calculation (PBE-GGA) on a relaxed MgHN crystal.

The structure in POSCAR format:
```
MgHN
1.0
3.118 0.000 0.000
0.000 3.119 0.000
-1.470 0.000 6.194
Mg H N
2 2 2
Cartesian
0.045 0.780 2.137
1.602 2.339 4.057
0.047 0.780 5.319
1.600 2.339 0.874
0.043 0.780 4.288
1.604 2.339 1.906
```

***

Arrangement C

VASP calculation (PBE-GGA) on a relaxed MgHN crystal.

The structure in POSCAR format:
```
MgHN
1.0
1.346 -2.898 0.000
1.346 2.898 0.000
0.000 0.000 5.736
Mg H N
2 2 2
Cartesian
0.000 0.000 0.000
0.000 0.000 2.868
1.346 1.501 4.302
1.346 -1.501 1.434
1.346 1.122 1.434
1.346 -1.122 4.302
```

Summary:
For the density of states at the Fermi level, the calculation gives 0.0 states/eV/cell.

***

Most stable of them? arrangement A.

***

Arrangement A

VASP calculation (PBE-GGA) on a relaxed MgHN crystal.

The structure in POSCAR format:
```
MgHN
1.0
5.753 0.000 0.000
0.000 3.797 0.000
0.000 0.000 5.729
Mg H N
4 4 4
Cartesian
0.865 0.949 0.539
2.011 2.847 3.403
3.742 0.949 2.326
4.888 2.847 5.191
0.775 0.949 3.070
2.102 2.847 0.205
3.651 0.949 5.524
4.978 2.847 2.659
1.253 2.847 5.344
1.624 0.949 2.480
4.129 2.847 3.250
4.500 0.949 0.385
```

Summary:
For the density of states at the Fermi level, the calculation gives 0.0 states/eV/cell.

***

Arrangement B

VASP calculation (PBE-GGA) on a relaxed MgHN crystal.

The structure in POSCAR format:
```
MgHN
1.0
5.652 0.000 0.000
0.000 5.708 0.000
0.000 0.000 2.983
Mg H N
4 4 4
Cartesian
0.000 0.000 0.000
0.000 2.854 0.000
2.826 0.000 1.491
2.826 2.854 1.491
1.339 1.427 0.945
1.487 4.281 2.436
4.164 1.427 0.546
4.313 4.281 2.038
0.965 4.281 1.535
1.860 1.427 0.043
3.791 4.281 2.939
4.686 1.427 1.448
```

Summary:
For the density of states at the Fermi level, the calculation gives 0.0 states/eV/cell.

***

Most stable of them? arrangement A.